A geometry-optimized RbLaNb2O7 structure, computed with PBE.

It has space group Imma (No. 74), with a = 5.553 Å, b = 22.523 Å, c = 5.591 Å, α = 90.00°, β = 90.00° and γ = 90.00°. The inequivalent atoms are Rb at (0.000, 0.000, 0.000), La at (0.000, 0.250, 0.013), Nb at (0.000, 0.148, 0.505), O at (0.000, 0.069, 0.558), O at (0.000, 0.250, 0.429), O at (0.250, 0.155, 0.250) and O at (0.250, 0.177, 0.750).

The formation energy from raw total energies comes out at -2768 meV/atom.

---

A geometry-optimized Rb4LaNb3O12 structure, computed with PBE.

It has space group Im-3m (No. 229), with a = 8.539 Å, b = 8.539 Å, c = 8.539 Å, α = 90.00°, β = 90.00° and γ = 90.00°. The inequivalent atoms are Rb at (0.250, 0.250, 0.250), La at (0.000, 0.000, 0.000), Nb at (0.000, 0.000, 0.500), O at (0.000, 0.000, 0.275) and O at (0.000, 0.250, 0.500).

The formation energy from raw total energies comes out at -2227 meV/atom.

---

A geometry-optimized RbLaNbO5 structure, computed with PBE.

It has space group C2/c (No. 15), with a = 7.933 Å, b = 10.671 Å, c = 8.591 Å, α = 90.00°, β = 113.38° and γ = 90.00°. The inequivalent atoms are Rb at (0.000, 0.168, 0.250), La at (0.000, 0.500, 0.000), Nb at (0.000, 0.187, 0.750), O at (0.000, 0.432, 0.250), O at (0.090, 0.289, 0.621) and O at (0.186, 0.080, 0.892).

The formation energy from raw total energies comes out at -2467 meV/atom.

---

A geometry-optimized Rb2LaNb2O8 structure, computed with PBE.

It has space group P4/mmm (No. 123), with a = 3.916 Å, b = 3.916 Å, c = 14.611 Å, α = 90.00°, β = 90.00° and γ = 90.00°. The inequivalent atoms are Rb at (0.000, 0.000, 0.116), La at (0.000, 0.000, 0.500), Nb at (0.500, 0.500, 0.341), O at (0.000, 0.500, 0.372), O at (0.500, 0.500, 0.000), O at (0.500, 0.500, 0.217) and O at (0.500, 0.500, 0.500).

The formation energy from raw total energies comes out at -2404 meV/atom.

---

A geometry-optimized La2NbRuO structure, computed with PBE.

It has space group P4/mmm (No. 123), with a = 5.077 Å, b = 5.077 Å, c = 4.091 Å, α = 90.00°, β = 90.00° and γ = 90.00°. The inequivalent atoms are La at (0.000, 0.500, 0.000), Nb at (0.000, 0.000, 0.500), Ru at (0.500, 0.500, 0.500) and O at (0.000, 0.000, 0.000).

The formation energy from raw total energies comes out at -783 meV/atom.

---

A geometry-optimized LaScNbO6 structure, computed with PBE.

It has space group P312 (No. 149), with a = 5.4579 Å, b = 5.4579 Å, c = 5.0844 Å, α = 90.00°, β = 90.00° and γ = 120.00°. The inequivalent atoms are La at (0.0000, 0.0000, 0.0000), Sc at (0.3333, 0.6667, 0.5000), Nb at (0.6667, 0.3333, 0.5000) and O at (0.3695, 0.0133, 0.7177).

The formation energy from raw total energies comes out at -2872 meV/atom.